#P
A plane-wave DFT calculation with PBE was carried out for a geometry-optimized Nb3TlP structure.

Calculated values
Space group   Pm-3m

abc: 4.673 4.673 4.673
angles: 90.00 90.00 90.00
Positions (direct):
Nb 0.000 0.000 0.500
Nb 0.000 0.500 0.000
Nb 0.500 0.000 0.000
Tl 0.500 0.500 0.500
P 0.000 0.000 0.000

#Q
A plane-wave DFT calculation with PBE was carried out for a geometry-optimized Nb3TlP structure.

Calculated values
Space group   Pm-3m

abc: 5.091 5.091 5.091
angles: 90.00 90.00 90.00
Positions (direct):
Nb 0.000 0.000 0.500
Nb 0.000 0.500 0.000
Nb 0.500 0.000 0.000
Tl 0.000 0.000 0.000
P 0.500 0.500 0.500

Most stable = #P